a.
Material: Sm2TmTh
Method: DFT, PBE
State: relaxed

Output
Crystal system: trigonal

Cell lengths 3.6054, 3.6054, 11.7441 Å; angles 81.17, 81.17, 60.00 degrees
Fractional positions:
Sm 0.0828 0.0828 0.7516
Sm 0.2504 0.2504 0.2489
Tm 0.5004 0.5004 0.4988
Th 0.6665 0.6665 0.0006



b.
Material: Sm2TmTh
Method: DFT, PBE
State: relaxed

Output
Crystal system: trigonal

Cell lengths 3.4763, 3.4763, 12.6893 Å; angles 82.13, 82.13, 60.00 degrees
Fractional positions:
Tm 0.5000 0.5000 0.5000
Sm 0.0903 0.0903 0.7292
Sm 0.9097 0.9097 0.2708
Th 0.0000 0.0000 0.0000



So which one is most stable? That would be a, about 0.154 eV/atom below the next structure.



a.
Material: SmTm2Th2
Method: DFT, PBE
State: relaxed

Output
Crystal system: trigonal

Cell lengths 3.5653, 3.5653, 14.5457 Å; angles 82.96, 82.96, 60.00 degrees
Fractional positions:
Sm 0.0000 0.0000 0.0000
Tm 0.4008 0.4008 0.7976
Tm 0.5992 0.5992 0.2024
Th 0.8005 0.8005 0.5984
Th 0.1995 0.1995 0.4016



b.
Material: SmTm2Th2
Method: DFT, PBE
State: relaxed

Output
Crystal system: trigonal

Cell lengths 3.5490, 3.5490, 14.5464 Å; angles 90.00, 90.00, 120.00 degrees
Fractional positions:
Sm 0.0000 0.0000 0.5000
Tm 0.6667 0.3333 0.6990
Tm 0.3333 0.6667 0.3010
Th 0.3333 0.6667 0.9002
Th 0.6667 0.3333 0.0998



So which one is most stable? That would be a, about 0.015 eV/atom below the next structure.



a.
Material: SmTm5Th4
Method: DFT, PBE
State: relaxed

Output
Crystal system: triclinic

Cell lengths 3.4569, 11.5247, 8.6272 Å; angles 70.84, 101.57, 90.07 degrees
Fractional positions:
Sm 0.5000 0.0000 0.0000
Tm 0.2093 0.3844 0.4181
Tm 0.1948 0.9137 0.3896
Tm 0.8052 0.0863 0.6104
Tm 0.5000 0.5000 0.0000
Tm 0.7907 0.6156 0.5819
Th 0.5977 0.2060 0.1952
Th 0.9065 0.2997 0.8160
Th 0.4023 0.7940 0.8048
Th 0.0935 0.7003 0.1840



b.
Material: SmTm5Th4
Method: DFT, PBE
State: relaxed

Output
Crystal system: orthorhombic

Cell lengths 11.0346, 9.0922, 6.7717 Å; angles 90.00, 90.00, 90.00 degrees
Fractional positions:
Sm 0.3904 0.0000 0.0000
Sm 0.6096 0.5000 0.5000
Tm 0.1518 0.8131 0.7501
Tm 0.1518 0.1869 0.7501
Tm 0.0650 0.5000 0.0000
Tm 0.1518 0.8131 0.2499
Tm 0.1518 0.1869 0.2499
Tm 0.8482 0.6869 0.2501
Tm 0.8482 0.3131 0.2501
Tm 0.9350 0.0000 0.5000
Tm 0.8482 0.3131 0.7499
Tm 0.8482 0.6869 0.7499
Th 0.6733 0.0000 0.7608
Th 0.5587 0.6823 0.0000
Th 0.5587 0.3177 0.0000
Th 0.6733 0.0000 0.2392
Th 0.3267 0.5000 0.2608
Th 0.4413 0.8177 0.5000
Th 0.4413 0.1823 0.5000
Th 0.3267 0.5000 0.7392



So which one is most stable? That would be a, about 0.230 eV/atom below the next structure.



a.
Material: Sm2Tm2Th
Method: DFT, PBE
State: relaxed

Output
Crystal system: trigonal

Cell lengths 3.5749, 3.5749, 14.5469 Å; angles 82.94, 82.94, 60.00 degrees
Fractional positions:
Sm 0.7993 0.7993 0.6022
Sm 0.2007 0.2007 0.3978
Tm 0.3978 0.3978 0.8065
Tm 0.6022 0.6022 0.1935
Th 0.0000 0.0000 0.0000



b.
Material: Sm2Tm2Th
Method: DFT, PBE
State: relaxed

Output
Crystal system: orthorhombic

Cell lengths 5.6995, 7.0609, 16.0539 Å; angles 90.00, 90.00, 90.00 degrees
Fractional positions:
Sm 0.7500 0.3690 0.7491
Sm 0.2500 0.1310 0.2491
Sm 0.2500 0.6310 0.2509
Sm 0.7500 0.8690 0.7509
Sm 0.7500 0.8806 0.1513
Sm 0.2500 0.6194 0.6513
Sm 0.2500 0.1194 0.8487
Sm 0.7500 0.3806 0.3487
Tm 0.7500 0.6268 0.5358
Tm 0.2500 0.8732 0.0358
Tm 0.2500 0.3732 0.4642
Tm 0.7500 0.1268 0.9642
Tm 0.7500 0.8807 0.3520
Tm 0.2500 0.6193 0.8520
Tm 0.2500 0.1193 0.6480
Tm 0.7500 0.3807 0.1480
Th 0.7500 0.1261 0.5367
Th 0.2500 0.3739 0.0367
Th 0.2500 0.8739 0.4633
Th 0.7500 0.6261 0.9633



So which one is most stable? That would be a, about 0.044 eV/atom below the next structure.



a.
Material: Sm2Tm6Th
Method: DFT, PBE
State: relaxed

Output
Crystal system: monoclinic

Cell lengths 7.5177, 10.2425, 10.2425 Å; angles 78.45, 59.04, 59.04 degrees
Fractional positions:
Sm 0.1991 0.5604 0.6836
Sm 0.3009 0.3164 0.4396
Sm 0.8009 0.4396 0.3164
Sm 0.6991 0.6836 0.5604
Tm 0.2846 0.7692 0.4055
Tm 0.2154 0.5945 0.2308
Tm 0.7154 0.2308 0.5945
Tm 0.7846 0.4055 0.7692
Tm 0.7794 0.9815 0.4141
Tm 0.7206 0.5859 0.0185
Tm 0.2206 0.0185 0.5859
Tm 0.2794 0.4141 0.9815
Tm 0.2700 0.8271 0.9263
Tm 0.2300 0.0737 0.1729
Tm 0.7300 0.1729 0.0737
Tm 0.7700 0.9263 0.8271
Th 0.2500 0.1861 0.8139
Th 0.7500 0.8139 0.1861



b.
Material: Sm2Tm6Th
Method: DFT, PBE
State: relaxed

Output
Crystal system: hexagonal

Cell lengths 3.5549, 3.5549, 26.0418 Å; angles 90.00, 90.00, 120.00 degrees
Fractional positions:
Sm 0.6667 0.3333 0.3278
Sm 0.6667 0.3333 0.6722
Tm 0.6667 0.3333 0.8899
Tm 0.3333 0.6667 0.4364
Tm 0.3333 0.6667 0.7840
Tm 0.3333 0.6667 0.2160
Tm 0.3333 0.6667 0.5636
Tm 0.6667 0.3333 0.1101
Th 0.3333 0.6667 0.0000



So which one is most stable? That would be b, about 0.175 eV/atom below the next structure.



a.
Material: Sm4Tm2Th
Method: DFT, PBE
State: relaxed

Output
Crystal system: orthorhombic

Cell lengths 6.7429, 8.9951, 8.9951 Å; angles 79.54, 67.99, 67.99 degrees
Fractional positions:
Sm 0.1542 0.3490 0.3426
Sm 0.1542 0.8426 0.8490
Sm 0.2366 0.2371 0.7371
Sm 0.7891 0.2371 0.7371
Sm 0.2109 0.7629 0.2629
Sm 0.8458 0.1574 0.1510
Sm 0.7634 0.7629 0.2629
Sm 0.8458 0.6510 0.6574
Tm 0.2784 0.9716 0.4716
Tm 0.5000 0.0000 0.0000
Tm 0.5000 0.5000 0.5000
Tm 0.7216 0.0284 0.5284
Th 0.0000 0.5000 0.0000
Th 0.5000 0.5000 0.0000



b.
Material: Sm4Tm2Th
Method: DFT, PBE
State: relaxed

Output
Crystal system: monoclinic

Cell lengths 3.5980, 3.6002, 20.4470 Å; angles 95.20, 90.00, 119.98 degrees
Fractional positions:
Sm 0.9081 0.8162 0.9582
Sm 0.4291 0.8583 0.5205
Sm 0.9994 0.9987 0.2375
Sm 0.5241 0.0481 0.8098
Tm 0.6200 0.2400 0.0974
Tm 0.7117 0.4235 0.3789
Th 0.8090 0.6180 0.6657



So which one is most stable? That would be b, about 0.274 eV/atom below the next structure.